No. 1
Y2Er2Ag after structural relaxation. Source: the Alexandria database, functional PBE-GGA.

The structure in POSCAR format:
```
Y2Er2Ag
1.0
5.008 0.000 0.000
0.000 5.008 0.000
-2.504 -2.504 12.194
Y Er Ag
4 4 2
Cartesian
0.000 0.000 7.902
2.504 2.504 4.292
0.000 2.504 1.805
0.000 2.504 10.389
2.504 0.000 10.388
0.000 0.000 4.291
2.504 2.504 7.903
2.504 0.000 1.806
0.000 2.504 6.097
2.504 2.504 0.000
```

Calculated values
energy: -49.48 eV per cell
energy relative to the lowest polymorph listed for this composition: 131 meV per atom
DOS(E_F): 14.491 states/eV/cell
DFT formation energy: 0.033 eV per atom

***

No. 2
Ag3SnF after structural relaxation. Source: the Alexandria database, functional PBE-GGA.

The structure in POSCAR format:
```
Ag3SnF
1.0
4.667 0.000 0.000
0.000 4.667 0.000
0.000 0.000 4.667
Sn F Ag
1 1 3
Cartesian
2.334 2.334 2.334
0.000 0.000 0.000
0.000 0.000 2.334
0.000 2.334 0.000
2.334 0.000 0.000
```

Calculated values
energy: -15.00 eV per cell
energy relative to the lowest polymorph listed for this composition: 0 meV per atom
E_form (uncorrected): -114 meV/atom
DOS(E_F): 1.748 states/eV/cell

***

No. 3
MgCdSeN2 after structural relaxation. Source: the Alexandria database, functional PBE-GGA.

The structure in POSCAR format:
```
MgCdSeN2
1.0
-1.267 -2.140 -3.305
3.811 -1.536 -0.466
-1.333 -4.309 3.301
Cd N Se Mg
1 2 1 1
Cartesian
0.606 -3.993 -0.235
1.906 -0.768 -0.233
-0.633 -1.070 -1.652
-0.667 -2.155 1.651
0.000 0.000 0.000
```

Calculated values
energy: -17.59 eV per cell
energy relative to the lowest polymorph listed for this composition: 0 meV per atom
E_form (uncorrected): 1010 meV/atom
DOS(E_F): 1.861 states/eV/cell

***

No. 4
Tl3OsPt after structural relaxation. Source: the Alexandria database, functional PBE-GGA.

The structure in POSCAR format:
```
Tl3OsPt
1.0
-3.156 -1.424 -3.897
3.923 -2.618 -2.220
-1.351 -4.277 2.656
Tl Pt Os
3 1 1
Cartesian
-0.675 -2.138 1.328
-1.578 -0.712 -1.948
1.961 -1.309 -1.110
-0.292 -4.159 -1.730
0.000 0.000 0.000
```

Calculated values
energy: -19.62 eV per cell
energy relative to the lowest polymorph listed for this composition: 0 meV per atom
DOS(E_F): 5.581 states/eV/cell
DFT formation energy: 0.949 eV per atom